Computed, not measured: crystalline KGa2NiF at its relaxed geometry at the GGA+U level of DFT.

```
data_KGa2NiF
_symmetry_space_group_name_H-M 'P 4/m m m'
_symmetry_Int_Tables_number 123
_symmetry_space_group_name_Hall '-P 4 2'
_cell_length_a 4.383
_cell_length_b 4.383
_cell_length_c 6.703
_cell_angle_alpha 90.00
_cell_angle_beta 90.00
_cell_angle_gamma 90.00
loop_
_atom_site_label
_atom_site_type_symbol
_atom_site_fract_x
_atom_site_fract_y
_atom_site_fract_z
_atom_site_occupancy
K1 K 0.000 0.000 0.000 1
Ga1 Ga 0.000 0.500 0.500 1
Ni1 Ni 0.500 0.500 0.500 1
F1 F 0.500 0.500 0.000 1
```

total DFT energy (no corrections): -2.69 eV per atom